Below is NpGa4Cu2Pt after structural relaxation, with properties calculated at the GGA-PBE level.

Output
The density of states at the Fermi level comes out at 8.36 states/eV/f.u. The energy of formation is -195 meV/atom.

Cell lengths 4.2115, 4.2115, 26.6161 Å; angles 90.00, 90.00, 120.00 degrees
Space group R-3m (No. 166, hexagonal axes)
Inequivalent atoms, fractional coordinates:
Np1 0.0000 0.0000 0.0000 [3 per cell]
Ga1 0.0000 0.0000 0.1265 [6 per cell]
Ga2 0.0000 0.0000 0.3994 [6 per cell]
Cu1 0.0000 0.0000 0.2488 [6 per cell]
Pt1 0.0000 0.0000 0.5000 [3 per cell]

Below is ThZrRe after structural relaxation, with properties calculated at the GGA-PBE level.

Output
The density of states at the Fermi level comes out at 3.48 states/eV/f.u. The energy of formation is 41 meV/atom.

Cell lengths 3.4334, 3.4334, 11.5961 Å; angles 90.00, 90.00, 90.00 degrees
Space group I4mm (No. 107)
Inequivalent atoms, fractional coordinates:
Th1 0.0000 0.0000 0.0000 [2 per cell]
Zr1 0.0000 0.0000 0.2905 [2 per cell]
Re1 0.0000 0.0000 0.6589 [2 per cell]

What is the energy of formation in the second record?
41 meV/atom